[1]
Here is an optimized crystal structure of PmDy4Sb5 from Alexandria. Energies are from PBE.

The calculation puts the uncorrected formation energy at -1.1412 eV per atom. The size of the total moment comes out at 0.00 Bohr magnetons per cell. For the total energy, the calculation gives -5.518 eV per atom. As for the space-group type: Immm (71).

```
10
Lattice="-1.4403 -3.9714 1.2539 -0.9498 -1.5383 -5.9630 11.4667 -1.1674 1.7303" Properties=species:S:1:pos:R:3 pbc="T T T"
Pm 0.0000 0.0000 0.0000
Dy 8.2141 -3.1365 -0.4992
Dy 4.9412 -5.0980 -2.7275
Dy 4.1355 -1.5791 -0.2513
Dy 0.8626 -3.5405 -2.4796
Sb 1.3884 -2.7908 0.4988
Sb 5.4522 -4.3426 0.2518
Sb 3.6245 -2.3345 -3.2306
Sb -0.4749 -0.7691 -2.9815
Sb 7.6883 -3.8862 -3.4776
```

[2]
Here is an optimized crystal structure of Pm3DySb3 from Alexandria. Energies are from PBE.

The calculation puts the uncorrected formation energy at -1.0403 eV per atom. The size of the total moment comes out at 0.00 Bohr magnetons per cell. For the total energy, the calculation gives -5.500 eV per atom. The calculation puts the energy above the most stable polymorph in this dataset at 0.0 meV per atom. As for the space-group type: P2_13 (198).

```
28
Lattice="-0.9361 -9.2768 1.0554 8.1093 -0.2822 4.7126 -4.6273 1.3822 8.0453" Properties=species:S:1:pos:R:3 pbc="T T T"
Pm 1.0230 -7.4749 3.8161
Pm 2.3717 -7.6174 12.8684
Pm 3.2528 -7.3638 6.6487
Pm 5.0111 -1.4338 6.6571
Pm 0.4558 -1.4640 2.4731
Pm 3.2148 -2.2705 9.6706
Pm 0.8058 0.0293 6.6791
Pm -2.6673 -1.9043 7.7937
Pm -1.8317 -5.2551 8.8340
Pm 1.7250 -5.5404 9.3596
Pm -1.9745 -4.6957 4.3946
Pm 3.8888 -4.0697 3.6845
Dy 0.2774 0.4530 10.2375
Dy -2.9315 -7.8381 5.9210
Dy 1.0895 -3.4993 5.9116
Dy 6.6563 -5.4689 5.5564
Sb -0.2402 -5.7945 11.7875
Sb -1.9835 -7.7441 2.9734
Sb 2.2794 -8.6106 9.6562
Sb 2.8091 -0.9833 4.4730
Sb -1.5168 -1.6219 4.8923
Sb 6.8325 -2.6041 4.3912
Sb -1.9766 1.1226 8.2207
Sb 0.2451 -2.5670 8.7425
Sb 0.9335 -4.5435 2.7112
Sb 4.0210 -5.0589 11.4376
Sb 0.0162 -6.3330 6.5554
Sb 3.8554 -4.3218 7.0383
```

[3]
Here is an optimized crystal structure of Pm3Dy5Sb8 from Alexandria. Energies are from PBE.

The calculation puts the uncorrected formation energy at -1.1499 eV per atom. The size of the total moment comes out at 0.00 Bohr magnetons per cell. For the total energy, the calculation gives -5.540 eV per atom. As for the space-group type: R-3m (166).

```
16
Lattice="7.6827 0.0000 4.4007 2.5810 7.2362 4.4007 0.0330 0.0233 8.8489" Properties=species:S:1:pos:R:3 pbc="T T T"
Pm 3.8579 0.0116 6.6248
Pm 0.0165 0.0116 4.4244
Pm 1.3070 3.6297 6.6248
Dy 3.8414 0.0000 2.2003
Dy 5.1318 3.6181 4.4007
Dy 0.0000 0.0000 0.0000
Dy 1.2905 3.6181 2.2003
Dy 5.1484 3.6297 8.8251
Sb 2.5909 1.8266 8.8789
Sb 3.8691 5.4105 11.0584
Sb 6.3959 1.8266 11.0584
Sb 7.6985 5.4277 13.2796
Sb 7.7059 5.4328 8.7714
Sb 6.4276 1.8490 6.5919
Sb 3.9009 5.4328 6.5919
Sb 2.5982 1.8318 4.3706
```

[4]
Here is an optimized crystal structure of Pm2DySb from Alexandria. Energies are from PBE.

The calculation puts the uncorrected formation energy at -0.5366 eV per atom. The size of the total moment comes out at 0.00 Bohr magnetons per cell. For the total energy, the calculation gives -5.093 eV per atom. The calculation puts the energy above the most stable polymorph in this dataset at 0.0 meV per atom. As for the space-group type: Cmcm (63).

```
8
Lattice="-0.7648 -3.7793 2.5074 3.2166 -2.2351 -2.3877 8.3862 5.3006 6.3357" Properties=species:S:1:pos:R:3 pbc="T T T"
Pm 1.5037 -1.9874 1.6828
Pm 9.3343 1.2737 4.7726
Pm 3.4162 -1.2488 -0.8387
Pm 7.4218 0.5350 7.2941
Dy 5.1418 -2.2392 2.4131
Dy 5.6962 1.5255 4.0423
Sb 3.5560 0.6143 2.0122
Sb 7.2820 -1.3281 4.4433
```

- What is the uncorrected formation energy in the third record?
  -1.1499 eV per atom

- Look up the uncorrected formation energy of the fourth one.
  -0.5366 eV per atom

- What is the formula in the third record?
  Pm3Dy5Sb8